First-principles (GGA-PBE) data for a geometry-optimized Y5MgRh structure, as listed in Alexandria.

Lattice parameters (Å, degrees): 9.043 7.601 12.056 90.00 105.67 90.00
Space group C2/c (No. 15)
Inequivalent atoms, fractional coordinates:
Y 0.000 0.019 0.250
Y 0.130 0.334 0.072
Y 0.250 0.163 0.622
Mg 0.000 0.388 0.750
Rh 0.000 0.000 0.000

Theoretical density (Mg/m³): 4.76
E_form (eV per atom): -0.178
VASP energy (eV/atom): -6.073